Here is crystalline K3Pr3MoO8 at its relaxed geometry from Alexandria. Energies are from PBE with a Hubbard U.

Unit cell a=7.118 b=7.118 c=7.545 alpha=118.19 beta=118.19 gamma=60.32
Fractional positions:
K (0.000, 0.000, 0.000)
K (0.000, 0.500, 0.000)
K (0.500, 0.000, 0.000)
Pr (0.000, 0.500, 0.500)
Pr (0.500, 0.000, 0.500)
Pr (0.500, 0.500, 0.500)
Mo (0.000, 0.000, 0.500)
O (0.205, 0.205, 0.674)
O (0.209, 0.759, 0.675)
O (0.241, 0.791, 0.325)
O (0.268, 0.268, 0.308)
O (0.732, 0.732, 0.692)
O (0.759, 0.209, 0.675)
O (0.791, 0.241, 0.325)
O (0.795, 0.795, 0.326)

Computed properties:
volume: 18.5 A^3/atom
energy: -6.70 eV per atom
N(E_F): 0.00 states/eV/cell
crystal system: monoclinic